Entry 1:
12
Lattice="3.610 -6.259 0.000 3.610 6.259 0.000 -2.408 0.000 7.224" Properties=species:S:1:pos:R:3 comment="LiEr2Tl3Se6, relaxed, DFT GGA-PBE" crystal_system=monoclinic m_tot_mub_per_fu=0.00 raw_formation_energy_mev_per_atom=-1046 n_ef_per_ev_cell=5.8 pbc="T T T"
Li 0.000 0.000 0.000
Er 3.610 2.099 0.000
Er 3.610 -2.099 0.000
Tl 2.406 4.164 3.612
Tl 2.406 0.000 3.612
Tl 2.406 -4.164 3.612
Se 1.225 2.122 1.551
Se 0.046 0.000 5.687
Se 1.225 -2.122 1.551
Se 3.587 2.122 5.673
Se 4.766 0.000 1.537
Se 3.587 -2.122 5.673

Entry 2:
14
Lattice="-3.485 5.920 6.247 3.485 -5.920 6.247 3.485 5.920 -6.247" Properties=species:S:1:pos:R:3 comment="La2Pr4Sm, relaxed, DFT GGA-PBE" crystal_system=orthorhombic e_form_ev_per_atom=0.20 de_polymorph_ev_per_fu=0.00 m_tot_mub_per_fu=0.00 n_ef_per_ev_cell=22.1 pbc="T T T"
La 0.000 0.000 0.000
La 0.000 2.960 2.782
La 0.000 5.920 0.000
La 3.485 2.960 3.465
Pr 3.485 -0.072 1.785
Pr 1.925 2.960 0.111
Pr 5.045 2.960 0.111
Pr 3.485 5.848 -1.785
Pr 0.000 0.072 8.032
Pr -1.560 2.960 6.136
Pr 1.560 2.960 6.136
Pr 0.000 5.992 4.463
Sm 1.742 2.960 -3.124
Sm 1.742 -2.960 3.124

Entry 3:
10
Lattice="7.874 0.000 0.000 0.000 7.874 0.000 0.000 0.000 3.918" Properties=species:S:1:pos:R:3 comment="Tm2AgHg2, relaxed, DFT GGA-PBE" crystal_system=tetragonal e_form_ev_per_atom=-0.33 de_polymorph_ev_per_fu=0.00 m_tot_mub_per_fu=0.00 n_ef_per_ev_cell=5.5 pbc="T T T"
Tm 1.299 2.638 0.000
Tm 2.638 6.575 0.000
Tm 5.236 1.299 0.000
Tm 6.575 5.236 0.000
Ag 0.000 0.000 1.959
Ag 3.937 3.937 1.959
Hg 1.076 5.013 1.959
Hg 2.861 1.076 1.959
Hg 5.013 6.798 1.959
Hg 6.798 2.861 1.959

Entry 4:
6
Lattice="0.000 5.193 5.193 5.193 0.000 5.193 5.193 5.193 0.000" Properties=species:S:1:pos:R:3 comment="K4LiRe, relaxed, DFT GGA-PBE" crystal_system=cubic e_form_ev_per_atom=1.27 m_tot_mub_per_fu=3.80 n_ef_per_ev_cell=6.0 pbc="T T T"
K 3.904 3.904 3.904
K 6.482 6.482 3.904
K 6.482 3.904 6.482
K 3.904 6.482 6.482
Li 0.000 0.000 0.000
Re 7.789 7.789 7.789

Entry 5:
12
Lattice="2.935 0.000 0.000 -1.467 2.542 0.000 0.000 0.000 21.807" Properties=species:S:1:pos:R:3 comment="CrReBAu, relaxed, DFT GGA-PBE" crystal_system=trigonal e_form_ev_per_atom=0.35 de_polymorph_ev_per_fu=0.83 m_tot_mub_per_fu=2.53 n_ef_per_ev_cell=3.7 pbc="T T T"
Cr 0.000 0.000 0.000
Cr 0.000 1.694 14.538
Cr 1.467 0.847 7.269
Re 0.000 0.000 9.287
Re 0.000 1.694 2.018
Re 1.467 0.847 16.556
B 0.000 0.000 3.376
B 0.000 1.694 17.914
B 1.467 0.847 10.645
Au 0.000 0.000 12.263
Au 0.000 1.694 4.994
Au 1.467 0.847 19.532

Entry 6:
16
Lattice="5.343 0.000 0.000 0.000 5.343 0.000 0.000 0.000 5.343" Properties=species:S:1:pos:R:3 comment="TaCoC2, relaxed, DFT GGA-PBE" crystal_system=cubic e_form_ev_per_atom=0.80 de_polymorph_ev_per_fu=1.49 m_tot_mub_per_fu=1.45 n_ef_per_ev_cell=17.7 pbc="T T T"
Ta 0.000 0.000 0.000
Ta 0.000 2.671 2.671
Ta 2.671 0.000 2.671
Ta 2.671 2.671 0.000
Co 0.000 0.000 2.671
Co 0.000 2.671 0.000
Co 2.671 0.000 0.000
Co 2.671 2.671 2.671
C 1.336 1.336 1.336
C 1.336 1.336 4.007
C 1.336 4.007 1.336
C 1.336 4.007 4.007
C 4.007 1.336 1.336
C 4.007 1.336 4.007
C 4.007 4.007 1.336
C 4.007 4.007 4.007

Entry 7:
4
Lattice="3.052 0.000 0.000 0.000 3.052 0.000 0.000 0.000 6.439" Properties=species:S:1:pos:R:3 comment="ZrCr2Re, relaxed, DFT GGA-PBE" crystal_system=tetragonal e_form_ev_per_atom=0.09 de_polymorph_ev_per_fu=0.25 m_tot_mub_per_fu=0.00 n_ef_per_ev_cell=2.3 pbc="T T T"
Zr 0.000 0.000 0.000
Cr 0.000 0.000 3.111
Cr 1.526 1.526 1.755
Re 1.526 1.526 4.537

Entry 8:
3
Lattice="4.688 0.000 0.000 -2.344 4.060 0.000 0.000 0.000 5.596" Properties=species:S:1:pos:R:3 comment="RbSbAu, relaxed, DFT GGA-PBE" crystal_system=hexagonal de_polymorph_ev_per_fu=0.00 m_tot_mub_per_fu=0.00 raw_formation_energy_mev_per_atom=-376 n_ef_per_ev_cell=2.8 pbc="T T T"
Rb 0.000 0.000 0.000
Sb 2.344 1.353 2.798
Au 0.000 2.706 2.798

Entry 9:
16
Lattice="5.161 0.000 0.000 0.000 5.161 0.000 0.000 0.000 14.721" Properties=species:S:1:pos:R:3 comment="LiSm2Hg5, relaxed, DFT GGA-PBE" crystal_system=tetragonal e_form_ev_per_atom=-0.33 m_tot_mub_per_fu=0.30 n_ef_per_ev_cell=11.7 pbc="T T T"
Li 0.000 0.000 0.000
Li 2.580 2.580 7.360
Sm 0.000 0.000 3.819
Sm 0.000 0.000 10.902
Sm 2.580 2.580 3.542
Sm 2.580 2.580 11.179
Hg 0.000 0.000 7.360
Hg 0.000 2.580 1.721
Hg 0.000 2.580 5.640
Hg 0.000 2.580 9.081
Hg 0.000 2.580 13.000
Hg 2.580 0.000 1.721
Hg 2.580 0.000 5.640
Hg 2.580 0.000 9.081
Hg 2.580 0.000 13.000
Hg 2.580 2.580 0.000

Entry 10:
9
Lattice="-5.222 5.222 2.378 5.222 -5.222 2.378 5.222 5.222 -2.378" Properties=species:S:1:pos:R:3 comment="Na4Tl4Bi, relaxed, DFT GGA-PBE" crystal_system=tetragonal e_form_ev_per_atom=-0.16 m_tot_mub_per_fu=0.00 n_ef_per_ev_cell=3.2 pbc="T T T"
Na 1.701 1.701 0.000
Na 3.522 -3.522 2.378
Na -3.522 3.522 2.378
Na 3.522 3.522 2.378
Tl 5.222 1.741 0.000
Tl 1.741 5.222 0.000
Tl 3.482 0.000 2.378
Tl 0.000 3.482 2.378
Bi 0.000 0.000 2.378

Entry 11:
10
Lattice="4.342 0.000 0.000 0.000 4.342 0.000 0.000 0.000 10.329" Properties=species:S:1:pos:R:3 comment="Pr2ZnSi4Au3, relaxed, DFT GGA-PBE" crystal_system=tetragonal m_tot_mub_per_fu=0.00 raw_formation_energy_mev_per_atom=-546 n_ef_per_ev_cell=1.8 pbc="T T T"
Pr 0.000 2.171 2.559
Pr 2.171 0.000 7.770
Zn 2.171 2.171 0.000
Si 0.000 0.000 5.164
Si 0.000 2.171 8.962
Si 2.171 0.000 1.366
Si 2.171 2.171 5.164
Au 0.000 0.000 0.000
Au 0.000 2.171 6.488
Au 2.171 0.000 3.841

Entry 12:
7
Lattice="5.237 0.000 0.000 0.000 5.237 0.000 0.000 0.000 7.175" Properties=species:S:1:pos:R:3 comment="CeNdHg5, relaxed, DFT GGA-PBE" crystal_system=tetragonal e_form_ev_per_atom=-0.24 m_tot_mub_per_fu=1.23 n_ef_per_ev_cell=11.9 pbc="T T T"
Ce 0.000 0.000 0.000
Nd 2.618 2.618 3.588
Hg 0.000 2.618 1.903
Hg 0.000 2.618 5.272
Hg 2.618 0.000 1.903
Hg 2.618 0.000 5.272
Hg 2.618 2.618 0.000

Entry 13:
16
Lattice="6.748 0.000 0.000 0.000 6.748 0.000 0.000 0.000 6.748" Properties=species:S:1:pos:R:3 comment="HfCd2H, relaxed, DFT GGA-PBE" crystal_system=cubic de_polymorph_ev_per_fu=3.94 m_tot_mub_per_fu=0.00 n_ef_per_ev_cell=12.2 pbc="T T T"
Hf 0.000 0.000 0.000
Hf 0.000 3.374 3.374
Hf 3.374 0.000 3.374
Hf 3.374 3.374 0.000
Cd 1.687 1.687 1.687
Cd 1.687 1.687 5.061
Cd 1.687 5.061 1.687
Cd 1.687 5.061 5.061
Cd 5.061 1.687 1.687
Cd 5.061 1.687 5.061
Cd 5.061 5.061 1.687
Cd 5.061 5.061 5.061
H 0.000 0.000 3.374
H 0.000 3.374 0.000
H 3.374 0.000 0.000
H 3.374 3.374 3.374

Entry 14:
3
Lattice="3.540 0.000 0.000 -1.770 3.066 0.000 0.000 0.000 8.711" Properties=species:S:1:pos:R:3 comment="LaCeTm, relaxed, DFT GGA-PBE" crystal_system=trigonal e_form_ev_per_atom=0.07 de_polymorph_ev_per_fu=0.02 m_tot_mub_per_fu=0.40 n_ef_per_ev_cell=7.5 pbc="T T T"
La 0.000 0.000 0.000
Ce 0.000 2.044 5.842
Tm 1.770 1.022 3.051

Entry 15:
12
Lattice="6.774 0.000 0.000 0.000 9.086 0.000 -0.012 0.000 6.849" Properties=species:S:1:pos:R:3 comment="BaSr2PuCl8, relaxed, DFT GGA-PBE" crystal_system=monoclinic m_tot_mub_per_fu=6.00 raw_formation_energy_mev_per_atom=-2266 n_ef_per_ev_cell=18.5 pbc="T T T"
Ba 0.000 0.000 0.000
Sr 3.381 2.325 3.425
Sr 3.381 6.762 3.425
Pu 0.000 4.543 0.000
Cl 1.532 2.417 1.169
Cl 1.532 6.669 1.169
Cl 1.868 4.543 4.626
Cl 1.926 0.000 4.463
Cl 4.836 0.000 2.386
Cl 4.894 4.543 2.223
Cl 5.230 2.417 5.680
Cl 5.230 6.669 5.680

Entry 16:
5
Lattice="4.812 0.000 0.000 0.000 4.812 0.000 0.000 0.000 4.812" Properties=species:S:1:pos:R:3 comment="Sc3MnAg, relaxed, DFT GGA-PBE" crystal_system=cubic e_form_ev_per_atom=0.20 de_polymorph_ev_per_fu=0.00 m_tot_mub_per_fu=0.56 n_ef_per_ev_cell=5.6 pbc="T T T"
Sc 0.000 0.000 2.406
Sc 0.000 2.406 0.000
Sc 2.406 0.000 0.000
Mn 0.000 0.000 0.000
Ag 2.406 2.406 2.406

Entry 17:
12
Lattice="3.201 1.848 9.347 -3.201 1.848 9.347 0.000 -3.696 9.347" Properties=species:S:1:pos:R:3 comment="KLiGa2Cl8, relaxed, DFT GGA-PBE" crystal_system=trigonal m_tot_mub_per_fu=0.00 raw_formation_energy_mev_per_atom=-1411 n_ef_per_ev_cell=0.0 pbc="T T T"
K 0.000 0.000 0.000
Li 0.000 0.000 14.021
Ga 0.000 0.000 6.895
Ga 0.000 0.000 21.147
Cl -2.141 -0.023 12.443
Cl -1.051 -1.866 15.599
Cl 0.000 0.000 9.102
Cl 1.091 -1.843 12.443
Cl -1.091 1.843 15.599
Cl 0.000 0.000 18.940
Cl 1.051 1.866 12.443
Cl 2.141 0.023 15.599

Entry 18:
12
Lattice="3.544 0.000 0.000 -1.772 3.069 0.000 0.000 0.000 29.331" Properties=species:S:1:pos:R:3 comment="Pu2FeHg, relaxed, DFT GGA-PBE" crystal_system=trigonal e_form_ev_per_atom=0.26 de_polymorph_ev_per_fu=1.27 m_tot_mub_per_fu=10.16 n_ef_per_ev_cell=34.2 pbc="T T T"
Pu 0.000 0.000 3.250
Pu 0.000 0.000 26.081
Pu 0.000 2.046 16.304
Pu 0.000 2.046 22.804
Pu 1.772 1.023 6.527
Pu 1.772 1.023 13.027
Fe 0.000 0.000 14.666
Fe 0.000 2.046 4.889
Fe 1.772 1.023 24.443
Hg 0.000 0.000 0.000
Hg 0.000 2.046 19.554
Hg 1.772 1.023 9.777

Entry 19:
19
Lattice="6.755 3.900 3.297 -6.755 3.900 3.297 0.000 -7.800 3.297" Properties=species:S:1:pos:R:3 comment="Pm12PrNi6, relaxed, DFT GGA-PBE" crystal_system=trigonal e_form_ev_per_atom=-0.04 de_polymorph_ev_per_fu=2.72 m_tot_mub_per_fu=0.00 n_ef_per_ev_cell=30.8 pbc="T T T"
Pm -2.559 -3.367 3.297
Pm -4.196 -0.532 3.297
Pm 0.000 -2.029 1.465
Pm -1.758 1.015 1.465
Pm 1.758 1.015 1.465
Pm 2.559 -3.367 3.297
Pm -1.637 3.900 3.297
Pm 4.196 -0.532 3.297
Pm 1.637 3.900 3.297
Pm -1.758 -1.015 8.426
Pm 1.758 -1.015 8.426
Pm 0.000 2.029 8.426
Pr 0.000 0.000 4.946
Ni -3.743 -2.161 5.650
Ni 0.000 -4.322 4.242
Ni -3.743 2.161 4.242
Ni 3.743 -2.161 5.650
Ni 0.000 4.322 5.650
Ni 3.743 2.161 4.242

Entry 20:
16
Lattice="9.030 0.000 0.000 -4.515 7.820 0.000 0.000 0.000 6.344" Properties=species:S:1:pos:R:3 comment="Li3Y5, relaxed, DFT GGA-PBE" crystal_system=hexagonal e_form_ev_per_atom=0.18 m_tot_mub_per_fu=1.27 n_ef_per_ev_cell=25.7 pbc="T T T"
Li -1.858 3.219 1.586
Li -2.657 4.601 4.758
Li 3.717 0.000 1.586
Li 1.858 3.219 4.758
Li 5.313 0.000 4.758
Li 2.657 4.601 1.586
Y -1.050 1.818 4.758
Y -3.465 6.002 1.586
Y 2.100 0.000 4.758
Y 1.050 1.818 1.586
Y 0.000 5.213 0.000
Y 0.000 5.213 3.172
Y 4.515 2.607 0.000
Y 4.515 2.607 3.172
Y 6.930 0.000 1.586
Y 3.465 6.002 4.758

Entry 21:
5
Lattice="5.012 0.000 0.000 0.000 5.012 0.000 0.000 0.000 4.838" Properties=species:S:1:pos:R:3 comment="HfGeP2S, relaxed, DFT GGA-PBE" crystal_system=tetragonal de_polymorph_ev_per_fu=0.00 m_tot_mub_per_fu=0.00 raw_formation_energy_mev_per_atom=204 n_ef_per_ev_cell=4.3 pbc="T T T"
Hf 0.000 0.000 0.000
Ge 2.506 2.506 2.419
P 0.000 2.506 0.000
P 2.506 0.000 0.000
S 0.000 0.000 2.419

Entry 22:
8
Lattice="3.649 0.000 0.000 0.000 3.649 0.000 0.000 0.000 8.381" Properties=species:S:1:pos:R:3 comment="Li2MnRh, relaxed, DFT GGA-PBE" crystal_system=tetragonal e_form_ev_per_atom=-0.03 de_polymorph_ev_per_fu=0.11 m_tot_mub_per_fu=4.06 n_ef_per_ev_cell=4.1 pbc="T T T"
Li 0.000 1.825 2.095
Li 0.000 1.825 6.286
Li 1.825 0.000 2.095
Li 1.825 0.000 6.286
Mn 0.000 0.000 0.000
Mn 1.825 1.825 4.191
Rh 0.000 0.000 4.191
Rh 1.825 1.825 0.000

Entry 23:
12
Lattice="6.250 0.000 0.000 0.000 6.250 0.000 0.000 0.000 6.250" Properties=species:S:1:pos:R:3 comment="ScAsP, relaxed, DFT GGA-PBE" crystal_system=cubic e_form_ev_per_atom=-0.34 de_polymorph_ev_per_fu=1.09 m_tot_mub_per_fu=0.00 n_ef_per_ev_cell=12.7 pbc="T T T"
Sc 0.000 0.000 0.000
Sc 0.000 3.125 3.125
Sc 3.125 0.000 3.125
Sc 3.125 3.125 0.000
As 0.000 0.000 3.125
As 0.000 3.125 0.000
As 3.125 0.000 0.000
As 3.125 3.125 3.125
P 1.563 1.563 4.688
P 1.563 4.688 1.563
P 4.688 1.563 1.563
P 4.688 4.688 4.688

Entry 24:
16
Lattice="7.414 0.000 0.000 0.000 7.414 0.000 0.000 0.000 7.414" Properties=species:S:1:pos:R:3 comment="LaNdCdRu, relaxed, DFT GGA-PBE" crystal_system=cubic e_form_ev_per_atom=-0.16 de_polymorph_ev_per_fu=0.34 m_tot_mub_per_fu=0.00 n_ef_per_ev_cell=17.2 pbc="T T T"
La 0.000 0.000 0.000
La 0.000 3.707 3.707
La 3.707 0.000 3.707
La 3.707 3.707 0.000
Nd 0.000 0.000 3.707
Nd 0.000 3.707 0.000
Nd 3.707 0.000 0.000
Nd 3.707 3.707 3.707
Cd 1.854 1.854 1.854
Cd 1.854 5.561 5.561
Cd 5.561 1.854 5.561
Cd 5.561 5.561 1.854
Ru 1.854 1.854 5.561
Ru 1.854 5.561 1.854
Ru 5.561 1.854 1.854
Ru 5.561 5.561 5.561

Entry 25:
16
Lattice="8.212 0.000 0.000 0.000 8.212 0.000 0.000 0.000 8.212" Properties=species:S:1:pos:R:3 comment="BaY2Sc, relaxed, DFT GGA-PBE" crystal_system=cubic e_form_ev_per_atom=0.33 de_polymorph_ev_per_fu=0.72 m_tot_mub_per_fu=0.00 n_ef_per_ev_cell=40.7 pbc="T T T"
Ba 0.000 0.000 0.000
Ba 0.000 4.106 4.106
Ba 4.106 0.000 4.106
Ba 4.106 4.106 0.000
Y 2.053 2.053 2.053
Y 2.053 2.053 6.159
Y 2.053 6.159 2.053
Y 2.053 6.159 6.159
Y 6.159 2.053 2.053
Y 6.159 2.053 6.159
Y 6.159 6.159 2.053
Y 6.159 6.159 6.159
Sc 0.000 0.000 4.106
Sc 0.000 4.106 0.000
Sc 4.106 0.000 0.000
Sc 4.106 4.106 4.106